# 1
# Pm3YSe4 (PBE, relaxed)
# energy above the lowest structure with this stoichiometry	13	meV per atom
# magnetic moment	0.0000	μB per atom
# formation energy without anion corrections	-1802	meV per atom
data_Pm3YSe4
_chemical_formula_sum 'Pm3 Y1 Se4'
_symmetry_space_group_name_H-M 'P m -3 m'
_symmetry_Int_Tables_number 221
_symmetry_space_group_name_Hall '-P 4 2 3'
_cell_length_a 5.901
_cell_length_b 5.901
_cell_length_c 5.901
_cell_angle_alpha 90.00
_cell_angle_beta 90.00
_cell_angle_gamma 90.00
loop_
_atom_site_label
_atom_site_type_symbol
_atom_site_fract_x
_atom_site_fract_y
_atom_site_fract_z
_atom_site_occupancy
Pm1 Pm 0.000 0.000 0.500 1
Y1 Y 0.500 0.500 0.500 1
Se1 Se 0.000 0.000 0.000 1
Se2 Se 0.000 0.500 0.500 1

# 2
# PmY4Se7 (PBE, relaxed)
# magnetic moment	0.0000	μB per atom
# formation energy without anion corrections	-1867	meV per atom
data_PmY4Se7
_chemical_formula_sum 'Pm2 Y8 Se14'
_symmetry_space_group_name_H-M 'C 1 m 1'
_symmetry_Int_Tables_number 8
_cell_length_a 13.513
_cell_length_b 3.991
_cell_length_c 12.275
_cell_angle_alpha 90.00
_cell_angle_beta 104.29
_cell_angle_gamma 90.00
loop_
_symmetry_equiv_pos_as_xyz
'x,y,z'
'x,-y,z'
'x+1/2,y+1/2,z'
'x+1/2,-y+1/2,z'
loop_
_atom_site_label
_atom_site_type_symbol
_atom_site_fract_x
_atom_site_fract_y
_atom_site_fract_z
_atom_site_occupancy
Pm1 Pm 0.000 0.000 0.000 1
Y1 Y 0.114 0.000 0.423 1
Y2 Y 0.226 0.000 0.841 1
Y3 Y 0.314 0.500 0.236 1
Y4 Y 0.413 0.000 0.607 1
Se1 Se 0.072 0.000 0.636 1
Se2 Se 0.115 0.500 0.917 1
Se3 Se 0.156 0.000 0.210 1
Se4 Se 0.273 0.500 0.471 1
Se5 Se 0.353 0.500 0.770 1
Se6 Se 0.366 0.000 0.071 1
Se7 Se 0.455 0.000 0.372 1

# 3
# Pm2Y3Se4 (PBE, relaxed)
# magnetic moment	0.0000	μB per atom
# formation energy without anion corrections	-1554	meV per atom
data_Pm2Y3Se4
_chemical_formula_sum 'Pm4 Y6 Se8'
_symmetry_space_group_name_H-M 'C 1 2/m 1'
_symmetry_Int_Tables_number 12
_cell_length_a 21.214
_cell_length_b 4.034
_cell_length_c 5.820
_cell_angle_alpha 90.00
_cell_angle_beta 105.82
_cell_angle_gamma 90.00
loop_
_symmetry_equiv_pos_as_xyz
'x,y,z'
'-x,-y,-z'
'-x,y,-z'
'x,-y,z'
'x+1/2,y+1/2,z'
'-x+1/2,-y+1/2,-z'
'-x+1/2,y+1/2,-z'
'x+1/2,-y+1/2,z'
loop_
_atom_site_label
_atom_site_type_symbol
_atom_site_fract_x
_atom_site_fract_y
_atom_site_fract_z
_atom_site_occupancy
Pm1 Pm 0.093 0.000 0.095 1
Y1 Y 0.000 0.500 0.500 1
Y2 Y 0.199 0.500 0.699 1
Se1 Se 0.100 0.000 0.601 1
Se2 Se 0.200 0.500 0.200 1

# 4
# Pm5YSe8 (PBE, relaxed)
# magnetic moment	0.0000	μB per atom
# formation energy without anion corrections	-1842	meV per atom
data_Pm5YSe8
_chemical_formula_sum 'Pm10 Y2 Se16'
_symmetry_space_group_name_H-M 'I -4'
_symmetry_Int_Tables_number 82
_cell_length_a 9.017
_cell_length_b 9.017
_cell_length_c 8.676
_cell_angle_alpha 90.00
_cell_angle_beta 90.00
_cell_angle_gamma 90.00
loop_
_symmetry_equiv_pos_as_xyz
'x,y,z'
'y,-x,-z'
'-x,-y,z'
'-y,x,-z'
'x+1/2,y+1/2,z+1/2'
'y+1/2,-x+1/2,-z+1/2'
'-x+1/2,-y+1/2,z+1/2'
'-y+1/2,x+1/2,-z+1/2'
loop_
_atom_site_label
_atom_site_type_symbol
_atom_site_fract_x
_atom_site_fract_y
_atom_site_fract_z
_atom_site_occupancy
Pm1 Pm 0.000 0.000 0.000 1
Pm2 Pm 0.152 0.252 0.624 1
Y1 Y 0.000 0.500 0.250 1
Se1 Se 0.065 0.180 0.303 1
Se2 Se 0.070 0.326 0.946 1

magnetic moment of number 1 (Pm3YSe4)?
0.0000 μB per atom